{"formula": "KTeN2F", "functional": "GGA-PBE", "state": "optimized geometry", "dft_energy_ha_per_atom": -0.165, "magmom_total_mub_per_cell": 0.00, "dos_at_fermi_per_ev_fu": 1.4, "formation_energy_uncorrected_ev_per_atom": 0.05, "space_group": "No. 123", "relative_energy_ev_per_atom": 0.000, "lattice_angstrom": [[4.029, 0.000, 0.000], [0.000, 4.029, 0.000], [0.000, 0.000, 4.815]], "species": ["N", "N", "F", "Te", "K"], "fractional_positions": [[0.000, 0.500, 0.000], [0.500, 0.000, 0.000], [0.000, 0.000, 0.500], [0.000, 0.000, 0.000], [0.500, 0.500, 0.500]]}